No. 1
A relaxed ThMgGa2Cu4 crystal, computed with GGA-PBE.

Cell: 4.226 4.226 8.964 Å, 76.37 76.37 60.00°
Sites, in units of the cell vectors:
Th 0.000 0.000 0.000
Mg 0.500 0.500 0.500
Ga 0.758 0.758 0.727
Ga 0.242 0.242 0.273
Cu 0.401 0.401 0.796
Cu 0.875 0.875 0.376
Cu 0.125 0.125 0.624
Cu 0.599 0.599 0.204

Output
Space-group type: R-3m (166)
Formation energy (eV per atom): -0.228
Size of the total moment (μB/f.u.): 0.00
Theoretical density (kg/m³): 8090
Calculated volume (Å³/cell): 133



No. 2
A relaxed KMgZr2Si crystal, computed with GGA-PBE.

Cell: 5.284 5.284 4.873 Å, 90.00 90.00 90.00°
Sites, in units of the cell vectors:
Mg 0.000 0.000 0.000
K 0.500 0.500 0.500
Si 0.000 0.000 0.500
Zr 0.000 0.500 0.000
Zr 0.500 0.000 0.000

Output
Uncorrected energy (eV for the cell shown): -19.4
Space-group type: P4/mmm (123)
Size of the total moment (μB/f.u.): 0.00
Theoretical density (kg/m³): 3343
Calculated volume (Å³/cell): 136



No. 3
A relaxed BaCa2Ru crystal, computed with GGA-PBE.

Cell: 3.613 3.613 10.120 Å, 90.00 90.00 90.00°
Sites, in units of the cell vectors:
Ru 0.500 0.500 0.250
Ca 0.000 0.000 0.091
Ca 0.000 0.000 0.409
Ba 0.500 0.500 0.750

Output
Space-group type: P4/mmm (123)
Excess energy over the best structure of this formula in the dataset (eV/atom): 0.0180
Formation energy (eV per atom): 0.251
Size of the total moment (μB/f.u.): 0.02
Theoretical density (kg/m³): 4004
Calculated volume (Å³/cell): 132